No. 1
# LiMg2Al

A relaxed LiMg2Al crystal (PBE, Alexandria).

abc: 4.4454 4.4454 3.9905
angles: 90.00 90.00 90.00
Last column: nearest neighbours and their distance in Å.
Fractional coordinates of all 4 atoms:
Li (0.0000, 0.0000, 0.0000)  8 Mg 2.99, 4 Al 3.14
Mg (0.0000, 0.5000, 0.5000)  4 Al 2.99, 4 Li 2.99, 4 Mg 3.14
Mg (0.5000, 0.0000, 0.5000)  4 Al 2.99, 4 Li 2.99, 4 Mg 3.14
Al (0.5000, 0.5000, 0.0000)  8 Mg 2.99, 4 Li 3.14

Properties
As for the space group: P4/mmm, No. 123. The calculation puts the formation energy at -0.043 eV per atom.

***

No. 2
# Y3CdO

A relaxed Y3CdO crystal (PBE, Alexandria).

abc: 6.8965 6.8965 11.7191
angles: 118.64 118.64 31.32
Last column: nearest neighbours and their distance in Å.
Fractional coordinates of all 10 atoms:
Y (0.0000, 0.0000, 0.0000)  1 O 2.25
Y (0.0010, 0.0010, 0.4620)  2 O 2.24
Y (0.2237, 0.2237, 0.3695)  2 Cd 3.23, 2 Y 3.59
Y (0.5291, 0.5291, 0.7561)  3 O 2.23-2.24
Y (0.7586, 0.7586, 0.6630)  2 O 2.24-2.34
Y (0.7642, 0.7642, 0.1337)  4 Cd 3.21-3.29, 5 Y 3.56-3.59
Cd (0.2677, 0.2677, 0.9125)  8 Y 3.21-3.42, 1 Cd 3.39
Cd (0.4956, 0.4956, 0.2243)  8 Y 3.23-3.32, 1 Cd 3.39
O (0.5589, 0.5589, 0.5850)  4 Y 2.23-2.34
O (0.9526, 0.9526, 0.7873)  4 Y 2.24-2.25

Properties
For the energy relative to the elements, uncorrected, the calculation gives -1.27 eV per atom. As for the space group: Cm, No. 8.